Entry from Alexandria: a relaxed structure of Nd3Y4Tm3 (PBE).

a = 3.6937 Å, b = 9.4437 Å, c = 9.4437 Å
α = 89.61°, β = 90.00°, γ = 90.00°
Closest atoms and distances in Å follow each position.
Fractional positions:
Nd 0.0000 0.0000 0.0000  6 Y 3.26-3.43
Nd 0.0000 0.4984 0.8456  6 Y 3.25-3.41
Nd 0.0000 0.8456 0.4984  6 Y 3.25-3.41
Y 0.5000 0.0505 0.3012  4 Nd 3.25-3.43, 1 Y 3.34, 2 Tm 3.38
Y 0.5000 0.3012 0.0505  4 Nd 3.25-3.43, 1 Y 3.34, 2 Tm 3.38
Y 0.5000 0.5447 0.5447  2 Tm 3.24, 1 Y 3.41, 4 Nd 3.41
Y 0.5000 0.7992 0.7992  6 Nd 3.26-3.41, 1 Y 3.41
Tm 0.0000 0.3464 0.3464  6 Y 3.24-3.38
Tm 0.5000 0.1753 0.6656  4 Y 3.65-3.83, 4 Tm 3.69-3.88, 6 Nd 3.96-4.01
Tm 0.5000 0.6656 0.1753  4 Y 3.65-3.83, 4 Tm 3.69-3.88, 6 Nd 3.96-4.01

## Properties
* raw total energy: -5.24 eV/atom
* Fermi-level density of states: 7.8 states/eV/f.u.
* space-group type: No. 38

Entry from Alexandria: a relaxed structure of CaOs2Rh (PBE).

a = 3.8624 Å, b = 3.8624 Å, c = 8.7753 Å
α = 90.00°, β = 90.00°, γ = 90.00°
Closest atoms and distances in Å follow each position.
Fractional positions:
Ca 0.0000 0.0000 0.0000  4 Rh 2.73, 8 Os 2.92
Ca 0.5000 0.5000 0.5000  4 Rh 2.73, 8 Os 2.92
Os 0.0000 0.5000 0.2500  4 Os 2.73, 4 Ca 2.92, 4 Rh 2.92
Os 0.0000 0.5000 0.7500  4 Os 2.73, 4 Ca 2.92, 4 Rh 2.92
Os 0.5000 0.0000 0.2500  4 Os 2.73, 4 Ca 2.92, 4 Rh 2.92
Os 0.5000 0.0000 0.7500  4 Os 2.73, 4 Ca 2.92, 4 Rh 2.92
Rh 0.0000 0.0000 0.5000  4 Ca 2.73, 8 Os 2.92
Rh 0.5000 0.5000 0.0000  4 Ca 2.73, 8 Os 2.92

## Properties
* Fermi-level density of states: 4.6 states/eV/f.u.
* space-group type: No. 139
* energy above the lowest structure with this stoichiometry: 0.3370 eV/atom

Entry from Alexandria: a relaxed structure of La2PaTe6 (PBE).

a = 7.4164 Å, b = 7.4164 Å, c = 13.9692 Å
α = 90.00°, β = 90.00°, γ = 90.00°
Closest atoms and distances in Å follow each position.
Fractional positions:
La 0.0000 0.0000 0.1683  6 Te 3.20-3.24
La 0.0000 0.0000 0.8317  6 Te 3.20-3.24
La 0.5000 0.5000 0.3317  6 Te 3.20-3.24
La 0.5000 0.5000 0.6683  6 Te 3.20-3.24
Pa 0.0000 0.0000 0.5000  6 Te 2.98-3.01
Pa 0.5000 0.5000 0.0000  6 Te 2.98-3.01
Te 0.1958 0.1958 0.3456  1 Pa 2.98, 2 La 3.20-3.22
Te 0.1958 0.1958 0.6544  1 Pa 2.98, 2 La 3.20-3.22
Te 0.2129 0.2129 0.0000  1 Pa 3.01, 2 La 3.24
Te 0.2871 0.7129 0.5000  1 Pa 3.01, 2 La 3.24
Te 0.3042 0.6958 0.1544  1 Pa 2.98, 2 La 3.20-3.22
Te 0.3042 0.6958 0.8456  1 Pa 2.98, 2 La 3.20-3.22
Te 0.6958 0.3042 0.1544  1 Pa 2.98, 2 La 3.20-3.22
Te 0.6958 0.3042 0.8456  1 Pa 2.98, 2 La 3.20-3.22
Te 0.7129 0.2871 0.5000  1 Pa 3.01, 2 La 3.24
Te 0.7871 0.7871 0.0000  1 Pa 3.01, 2 La 3.24
Te 0.8042 0.8042 0.3456  1 Pa 2.98, 2 La 3.20-3.22
Te 0.8042 0.8042 0.6544  1 Pa 2.98, 2 La 3.20-3.22

## Properties
* E_form (uncorrected): -9.2 eV/f.u.
* Fermi-level density of states: 5.2 states/eV/f.u.
* space-group type: No. 136

Look up the Fermi-level density of states of the third one.
5.2 states/eV/f.u.